Entry 1:
Here is Sc8Te3P3C after structural relaxation from Alexandria. Energies are from PBE-GGA.

Cell and atoms, written as POSCAR:
```
Sc8Te3P3C
1.0
7.624 0.000 0.000
-3.813 6.598 -0.024
0.000 -4.374 6.736
Te Sc P C
3 8 3 1
Cartesian
0.000 0.000 0.000 Te
-1.906 3.299 -0.012 Te
1.906 3.299 -0.012 Te
1.694 -1.215 2.114 Sc
2.118 3.439 4.598 Sc
0.000 -0.227 4.612 Sc
-2.118 3.439 4.599 Sc
3.812 2.451 2.100 Sc
3.812 0.017 4.693 Sc
0.000 2.207 2.019 Sc
5.930 -1.216 2.114 Sc
-1.906 1.112 3.356 P
1.906 1.112 3.356 P
3.812 -2.187 3.368 P
0.000 -2.187 3.368 C
```

Calculated values
uncorrected formation energy: -26.7 kcal/mol of atoms
electronic total energy: -102.9 eV per cell


Entry 2:
Here is La2TaReNi after structural relaxation from Alexandria. Energies are from PBE-GGA.

Cell and atoms, written as POSCAR:
```
La2TaReNi
1.0
-1.153 3.289 3.975
1.161 -3.198 2.984
4.978 1.780 -0.029
Re La Ni Ta
1 2 1 1
Cartesian
0.580 -1.599 1.492 Re
-0.576 1.645 1.987 La
2.489 0.890 -0.014 La
0.000 0.000 0.000 Ni
2.493 0.935 3.465 Ta
```

Calculated values
E_form: 1036.4 meV/atom
electronic total energy: -34.8 eV per cell


Entry 3:
Here is ErAl6Zn after structural relaxation from Alexandria. Energies are from PBE-GGA.

Cell and atoms, written as POSCAR:
```
ErAl6Zn
1.0
-3.271 -0.925 1.846
1.757 -5.897 0.157
2.776 0.971 5.407
Al Zn Er
6 1 1
Cartesian
-0.248 0.023 3.626 Al
2.542 -0.606 4.201 Al
1.991 -4.319 1.363 Al
3.492 -3.794 4.286 Al
1.041 -1.131 1.278 Al
-0.757 -3.411 1.002 Al
-1.636 -0.463 0.923 Zn
0.631 -2.925 3.705 Er
```

Calculated values
E_form: -110.7 meV/atom
electronic total energy: -29.2 eV per cell


Entry 4:
Here is TeClO after structural relaxation from Alexandria. Energies are from PBE-GGA.

Cell and atoms, written as POSCAR:
```
TeClO
1.0
7.455 0.000 0.000
0.000 5.979 -1.354
0.000 -1.409 8.050
O Te Cl
4 4 4
Cartesian
0.985 -1.051 7.370 O
4.713 4.917 3.351 O
6.470 5.622 -0.674 O
2.742 -0.347 3.345 O
3.838 4.018 1.760 Te
3.617 0.553 4.936 Te
0.111 1.257 0.911 Te
7.344 3.314 5.785 Te
1.959 3.414 -0.050 Cl
1.769 2.709 3.975 Cl
5.496 1.157 6.746 Cl
5.687 1.861 2.721 Cl
```

Calculated values
uncorrected formation energy: -13.9 kcal/mol of atoms
electronic total energy: -47.0 eV per cell


Entry 5:
Here is ReP2Pb after structural relaxation from Alexandria. Energies are from PBE-GGA.

Cell and atoms, written as POSCAR:
```
ReP2Pb
1.0
-1.781 -3.958 0.506
1.706 -1.150 -2.986
4.313 -1.691 1.955
P Pb Re
2 1 1
Cartesian
3.549 -1.647 -0.388 P
5.479 -2.614 -1.158 P
0.614 -2.689 -0.004 Pb
3.624 -4.109 -0.520 Re
```

Calculated values
E_form: 379.1 meV/atom
electronic total energy: -25.5 eV per cell


Entry 6:
Here is InSnPb6 after structural relaxation from Alexandria. Energies are from PBE-GGA.

Cell and atoms, written as POSCAR:
```
InSnPb6
1.0
4.791 0.000 0.000
0.000 4.791 0.000
0.000 0.000 10.727
In Pb Sn
1 6 1
Cartesian
0.000 0.000 5.363 In
2.396 0.000 8.057 Pb
2.396 2.396 5.363 Pb
2.396 0.000 2.670 Pb
0.000 2.396 2.670 Pb
2.396 2.396 0.000 Pb
0.000 2.396 8.057 Pb
0.000 0.000 0.000 Sn
```

Calculated values
E_form: 38.4 meV/atom
electronic total energy: -28.7 eV per cell


Entry 7:
Here is Sr2RhPb after structural relaxation from Alexandria. Energies are from PBE-GGA.

Cell and atoms, written as POSCAR:
```
Sr2RhPb
1.0
3.724 0.000 0.000
0.000 3.724 0.000
0.000 0.000 9.129
Sr Rh Pb
2 1 1
Cartesian
0.000 0.000 8.411 Sr
1.862 1.862 2.898 Sr
1.862 1.862 6.353 Rh
0.000 0.000 5.160 Pb
```

Calculated values
E_form: -173.7 meV/atom
electronic total energy: -15.1 eV per cell


Entry 8:
Here is HAu3Br after structural relaxation from Alexandria. Energies are from PBE-GGA.

Cell and atoms, written as POSCAR:
```
HAu3Br
1.0
5.265 0.000 0.000
0.000 5.265 0.000
0.000 0.000 5.265
Au Br H
3 1 1
Cartesian
2.633 0.000 0.000 Au
0.000 2.633 0.000 Au
0.000 0.000 2.633 Au
0.000 0.000 0.000 Br
2.633 2.633 2.633 H
```

Calculated values
electronic total energy: -8.7 eV per cell


Entry 9:
Here is Sm3GdS after structural relaxation from Alexandria. Energies are from PBE-GGA.

Cell and atoms, written as POSCAR:
```
Sm3GdS
1.0
5.433 0.000 0.000
0.000 5.433 0.000
0.000 0.000 5.433
Gd Sm S
1 3 1
Cartesian
2.717 2.717 2.717 Gd
0.000 2.717 0.000 Sm
2.717 0.000 0.000 Sm
0.000 0.000 2.717 Sm
0.000 0.000 0.000 S
```

Calculated values
uncorrected formation energy: -15.3 kcal/mol of atoms
electronic total energy: -35.7 eV per cell


Entry 10:
Here is HgAsAu after structural relaxation from Alexandria. Energies are from PBE-GGA.

Cell and atoms, written as POSCAR:
```
HgAsAu
1.0
-3.095 -4.990 -2.378
-1.130 -4.954 3.428
-8.593 0.748 1.175
As Hg Au
4 4 4
Cartesian
-2.178 -3.512 -1.674 As
-5.004 -2.334 2.192 As
-0.917 -1.478 -0.704 As
-6.266 -4.368 1.223 As
-8.355 -2.099 2.620 Hg
-7.420 -2.999 -0.926 Hg
-4.267 -1.243 -0.276 Hg
-2.915 -4.603 0.795 Hg
-5.703 -7.895 0.785 Au
-5.138 -5.418 -0.930 Au
-9.435 -5.044 -0.342 Au
-8.453 -5.026 2.561 Au
```

Calculated values
E_form: 104.4 meV/atom
electronic total energy: -31.7 eV per cell


Entry 11:
Here is KMnCr after structural relaxation from Alexandria. Energies are from PBE-GGA.

Cell and atoms, written as POSCAR:
```
KMnCr
1.0
3.265 0.000 0.000
-1.632 2.827 0.000
0.000 0.000 7.674
K Mn Cr
1 1 1
Cartesian
1.632 0.942 2.595 K
0.000 1.885 5.672 Mn
0.000 0.000 7.080 Cr
```

Calculated values
E_form: 1016.5 meV/atom
electronic total energy: -16.8 eV per cell


Entry 12:
Here is ScTa5 after structural relaxation from Alexandria. Energies are from PBE-GGA.

Cell and atoms, written as POSCAR:
```
ScTa5
1.0
-2.554 3.983 -3.196
-2.909 -4.623 1.663
-1.290 2.143 3.701
Ta Sc
5 1
Cartesian
-3.376 0.751 1.084 Ta
-2.099 -1.240 2.682 Ta
-1.922 3.063 0.253 Ta
-2.672 1.114 -1.576 Ta
-2.790 -1.754 0.043 Ta
0.000 0.000 0.000 Sc
```

Calculated values
E_form: 342.0 meV/atom
electronic total energy: -63.5 eV per cell


Entry 13:
Here is Cs2LiRuF6 after structural relaxation from Alexandria. Energies are from PBE-GGA.

Cell and atoms, written as POSCAR:
```
Cs2LiRuF6
1.0
-2.826 3.881 3.820
1.694 -3.464 4.772
3.128 2.531 4.670
Ru Li Cs F
1 1 2 6
Cartesian
0.000 0.000 0.000 Ru
-0.566 0.209 4.296 Li
2.128 -0.362 6.869 Cs
-0.132 3.310 6.393 Cs
-0.268 0.099 2.036 F
-0.864 0.319 6.556 F
0.623 -1.723 4.547 F
0.600 1.506 8.768 F
1.396 1.442 4.495 F
-1.755 2.141 4.046 F
```

Calculated values
uncorrected formation energy: -54.0 kcal/mol of atoms
electronic total energy: -47.6 eV per cell


Entry 14:
Here is MnSn2 after structural relaxation from Alexandria. Energies are from PBE-GGA.

Cell and atoms, written as POSCAR:
```
MnSn2
1.0
6.592 0.000 0.000
0.000 6.592 0.000
-3.296 -3.296 5.624
Sn Mn
8 4
Cartesian
1.072 2.224 4.120 Sn
1.072 4.368 1.504 Sn
4.368 5.520 1.504 Sn
2.224 1.072 1.504 Sn
2.224 -1.072 4.120 Sn
-2.224 1.072 4.120 Sn
-1.072 -2.224 4.120 Sn
5.520 2.224 1.504 Sn
0.000 0.000 2.812 Mn
0.000 0.000 0.000 Mn
3.296 3.296 2.812 Mn
3.296 3.296 0.000 Mn
```

Calculated values
E_form: 53.5 meV/atom
electronic total energy: -68.1 eV per cell


Entry 15:
Here is Sc4Ag2Pt after structural relaxation from Alexandria. Energies are from PBE-GGA.

Cell and atoms, written as POSCAR:
```
Sc4Ag2Pt
1.0
-1.781 3.172 3.022
-0.281 -1.023 4.609
6.359 3.644 3.623
Pt Sc Ag
1 4 2
Cartesian
0.000 0.000 0.000 Pt
3.717 2.546 3.218 Sc
0.581 3.247 8.036 Sc
4.782 3.991 6.030 Sc
-0.484 1.803 5.224 Sc
1.075 1.449 2.814 Ag
3.223 4.345 8.440 Ag
```

Calculated values
E_form: -412.0 meV/atom
electronic total energy: -40.0 eV per cell


Entry 16:
Here is Ho7AlS5 after structural relaxation from Alexandria. Energies are from PBE-GGA.

Cell and atoms, written as POSCAR:
```
Ho7AlS5
1.0
-1.130 -1.643 -3.321
2.977 -4.837 3.646
-20.482 -5.364 9.623
Ho S Al
14 10 2
Cartesian
-17.724 -5.820 8.910 Ho
-6.536 -7.508 3.686 Ho
-12.096 -4.342 6.264 Ho
-5.782 -3.795 3.848 Ho
-15.830 -5.068 5.635 Ho
-9.216 -6.983 6.596 Ho
-15.922 -8.864 7.547 Ho
-2.802 -6.782 4.315 Ho
-9.416 -4.866 3.354 Ho
-0.631 -2.565 -0.774 Ho
-2.710 -2.987 2.403 Ho
-12.850 -8.055 6.101 Ho
-18.000 -9.286 10.724 Ho
-0.907 -6.031 1.040 Ho
-0.125 -3.482 1.769 S
-7.716 -3.289 1.994 S
-15.431 -9.748 10.080 S
-10.916 -8.561 7.956 S
-18.506 -8.369 8.181 S
-3.200 -2.103 -0.130 S
-7.469 -5.407 5.220 S
-10.239 -2.685 4.812 S
-11.163 -6.443 4.730 S
0.002 -0.004 0.001 S
-4.208 -5.619 1.956 Al
-14.423 -6.231 7.994 Al
```

Calculated values
uncorrected formation energy: -36.9 kcal/mol of atoms
electronic total energy: -154.5 eV per cell


Entry 17:
Here is Rb2Li2Au after structural relaxation from Alexandria. Energies are from PBE-GGA.

Cell and atoms, written as POSCAR:
```
Rb2Li2Au
1.0
7.486 0.000 0.000
0.000 7.486 0.000
0.000 0.000 6.134
Au Rb Li
2 4 4
Cartesian
3.743 3.743 0.000 Au
0.000 0.000 0.000 Au
5.203 6.026 3.067 Rb
6.026 2.283 3.067 Rb
2.283 1.460 3.067 Rb
1.460 5.203 3.067 Rb
6.290 4.940 0.000 Li
1.196 2.547 0.000 Li
4.940 1.196 0.000 Li
2.547 6.290 0.000 Li
```

Calculated values
E_form: -20.0 meV/atom
electronic total energy: -18.3 eV per cell


Entry 18:
Here is AcIn4Ni2 after structural relaxation from Alexandria. Energies are from PBE-GGA.

Cell and atoms, written as POSCAR:
```
AcIn4Ni2
1.0
-3.991 -1.920 -0.845
2.044 -3.870 -0.860
-1.663 -0.110 8.108
Ac In Ni
1 4 2
Cartesian
0.000 0.000 0.000 Ac
-2.214 -1.658 2.198 In
-0.419 -1.335 5.012 In
0.799 -2.645 2.236 In
-1.396 -4.242 4.205 In
-1.071 -3.206 0.316 Ni
-2.539 -2.694 6.087 Ni
```

Calculated values
E_form: -192.2 meV/atom
electronic total energy: -28.0 eV per cell


Entry 19:
Here is EuCd2Bi after structural relaxation from Alexandria. Energies are from PBE-GGA.

Cell and atoms, written as POSCAR:
```
EuCd2Bi
1.0
5.165 0.000 0.000
0.000 4.632 0.000
0.000 0.000 4.632
Cd Bi Eu
2 1 1
Cartesian
0.000 0.000 2.316 Cd
0.000 2.316 0.000 Cd
2.583 2.316 2.316 Bi
2.583 0.000 0.000 Eu
```

Calculated values
E_form: -405.3 meV/atom
electronic total energy: -17.6 eV per cell


Entry 20:
Here is Tb3CeY3Se8 after structural relaxation from Alexandria. Energies are from PBE-GGA.

Cell and atoms, written as POSCAR:
```
Tb3CeY3Se8
1.0
8.173 0.000 0.000
-4.087 7.078 -0.024
0.000 -4.696 6.694
Y Se Tb Ce
3 8 3 1
Cartesian
-2.043 3.539 -0.012 Y
2.043 3.539 -0.012 Y
0.000 0.000 0.000 Y
-1.977 5.942 1.589 Se
0.000 2.365 1.656 Se
4.087 2.288 1.601 Se
1.977 5.942 1.589 Se
4.087 0.017 5.013 Se
0.000 0.095 5.068 Se
6.063 -3.560 5.081 Se
2.110 -3.560 5.081 Se
-2.043 1.191 3.335 Tb
2.043 1.191 3.335 Tb
4.087 -2.348 3.347 Tb
0.000 -2.348 3.347 Ce
```

Calculated values
uncorrected formation energy: -42.0 kcal/mol of atoms
electronic total energy: -94.4 eV per cell